# CoSnO3 | Alexandria via LeMat-Bulk | PBE+U | relaxed
data_CoSnO3
_chemical_formula_sum 'Co1 Sn1 O3'
_symmetry_space_group_name_H-M 'P 1 m 1'
_symmetry_Int_Tables_number 6
_symmetry_space_group_name_Hall 'P -2y'
_cell_length_a 5.528
_cell_length_b 2.822
_cell_length_c 5.550
_cell_angle_alpha 90.00
_cell_angle_beta 119.52
_cell_angle_gamma 90.00
loop_
_atom_site_label
_atom_site_fract_x
_atom_site_fract_y
_atom_site_fract_z
Co1 0.000 0.000 0.000
Sn1 0.666 0.000 0.338
O1 0.339 0.500 0.177
O2 0.829 0.500 0.665
O3 0.830 0.500 0.175
# Total moment (μB/cell): 3.00
# Total energy (hartree per atom): -0.2164